#w
DFT (SCAN) results for a crystal of PtSe2Br relaxed with PBEsol. Values from VASP.

The structure in Quantum ESPRESSO input format:
```
&SYSTEM
  ibrav = 0, nat = 4, ntyp = 3
/
ATOMIC_SPECIES
Br 79.90 Br.upf
Pt 195.08 Pt.upf
Se 78.96 Se.upf
ATOMIC_POSITIONS crystal
Br 0.500 0.500 0.000
Pt 0.500 0.500 0.500
Se 0.000 0.000 0.664
Se 0.000 0.000 0.336
CELL_PARAMETERS angstrom
2.878 0.000 0.000
0.000 3.892 0.000
0.000 0.000 7.690
```

DOS at the Fermi energy (states/eV per cell): 1.18
SG: Pmmm

#x
DFT (SCAN) results for a crystal of PtSe2Br relaxed with PBEsol. Values from VASP.

The structure in Quantum ESPRESSO input format:
```
&SYSTEM
  ibrav = 0, nat = 4, ntyp = 3
/
ATOMIC_SPECIES
Se 78.96 Se.upf
Br 79.90 Br.upf
Pt 195.08 Pt.upf
ATOMIC_POSITIONS crystal
Se 0.273 0.273 0.180
Se 0.727 0.727 0.820
Br 0.500 0.500 0.500
Pt 0.000 0.000 0.000
CELL_PARAMETERS angstrom
-2.207 -1.552 2.623
1.003 -3.242 1.625
2.992 1.930 6.360
```

DOS at the Fermi energy (states/eV per cell): 2.03
SG: R-3m

#y
DFT (SCAN) results for a crystal of PtSe2Br relaxed with PBEsol. Values from VASP.

The structure in Quantum ESPRESSO input format:
```
&SYSTEM
  ibrav = 0, nat = 4, ntyp = 3
/
ATOMIC_SPECIES
Br 79.90 Br.upf
Pt 195.08 Pt.upf
Se 78.96 Se.upf
ATOMIC_POSITIONS crystal
Br 0.000 0.000 0.512
Pt 0.500 0.500 0.935
Se 0.000 0.000 0.824
Se 0.500 0.500 0.229
CELL_PARAMETERS angstrom
-1.958 -2.741 0.210
2.085 -1.314 2.293
-4.285 3.514 5.909
```

DOS at the Fermi energy (states/eV per cell): 3.17
SG: P4mm

Energy relative to the most stable one, in meV/atom: #w 617; #x 0; #y 593

#w
DFT (SCAN) results for a crystal of Si2PtBr relaxed with PBEsol. Values from VASP.

The structure in Quantum ESPRESSO input format:
```
&SYSTEM
  ibrav = 0, nat = 4, ntyp = 3
/
ATOMIC_SPECIES
Br 79.90 Br.upf
Pt 195.08 Pt.upf
Si 28.09 Si.upf
ATOMIC_POSITIONS crystal
Br 0.500 0.500 0.500
Pt 0.500 0.000 0.000
Si 0.000 0.000 0.500
Si 0.000 0.500 0.000
CELL_PARAMETERS angstrom
-2.330 1.731 0.147
-2.748 -3.565 -1.577
-0.759 -1.403 4.494
```

DOS at the Fermi energy (states/eV per cell): 2.05
SG: P4/mmm

#x
DFT (SCAN) results for a crystal of Si2PtBr relaxed with PBEsol. Values from VASP.

The structure in Quantum ESPRESSO input format:
```
&SYSTEM
  ibrav = 0, nat = 4, ntyp = 3
/
ATOMIC_SPECIES
Br 79.90 Br.upf
Pt 195.08 Pt.upf
Si 28.09 Si.upf
ATOMIC_POSITIONS crystal
Br 0.500 0.500 0.500
Pt 0.000 0.000 0.500
Si 0.000 0.500 0.000
Si 0.500 0.000 0.000
CELL_PARAMETERS angstrom
3.707 0.000 0.000
0.000 3.707 0.000
0.000 0.000 5.013
```

DOS at the Fermi energy (states/eV per cell): 1.61
SG: P4/mmm

Energy relative to the most stable one, in meV/atom: #w 0; #x 237

#w
DFT (SCAN) results for a crystal of TaPt2Br relaxed with PBEsol. Values from VASP.

The structure in Quantum ESPRESSO input format:
```
&SYSTEM
  ibrav = 0, nat = 4, ntyp = 3
/
ATOMIC_SPECIES
Br 79.90 Br.upf
Pt 195.08 Pt.upf
Ta 180.95 Ta.upf
ATOMIC_POSITIONS crystal
Br 0.000 0.500 0.000
Pt 0.230 0.235 0.459
Pt 0.770 0.765 0.541
Ta 0.500 0.000 0.000
CELL_PARAMETERS angstrom
-2.318 0.255 1.827
-2.711 -2.157 -3.139
2.483 -4.201 1.336
```

DOS at the Fermi energy (states/eV per cell): 2.82
SG: C2/m

#x
DFT (SCAN) results for a crystal of TaPt2Br relaxed with PBEsol. Values from VASP.

The structure in Quantum ESPRESSO input format:
```
&SYSTEM
  ibrav = 0, nat = 4, ntyp = 3
/
ATOMIC_SPECIES
Br 79.90 Br.upf
Pt 195.08 Pt.upf
Ta 180.95 Ta.upf
ATOMIC_POSITIONS crystal
Br 0.500 0.000 0.000
Pt 0.000 0.000 0.500
Pt 0.000 0.500 0.000
Ta 0.500 0.500 0.500
CELL_PARAMETERS angstrom
-2.385 1.308 -0.494
-2.074 -2.298 3.924
1.446 3.756 2.964
```

DOS at the Fermi energy (states/eV per cell): 3.42
SG: P4/mmm

Energy relative to the most stable one, in meV/atom: #w 0; #x 283

#w
DFT (SCAN) results for a crystal of Tc2PtBr relaxed with PBEsol. Values from VASP.

The structure in Quantum ESPRESSO input format:
```
&SYSTEM
  ibrav = 0, nat = 4, ntyp = 3
/
ATOMIC_SPECIES
Br 79.90 Br.upf
Tc 98.00 Tc.upf
Pt 195.08 Pt.upf
ATOMIC_POSITIONS crystal
Br 0.500 0.500 0.500
Tc 0.000 0.000 0.500
Tc 0.000 0.500 0.000
Pt 0.500 0.000 0.000
CELL_PARAMETERS angstrom
2.884 0.000 0.000
0.000 4.551 0.000
0.000 0.000 4.551
```

DOS at the Fermi energy (states/eV per cell): 4.55
SG: P4/mmm

#x
DFT (SCAN) results for a crystal of Tc2PtBr relaxed with PBEsol. Values from VASP.

The structure in Quantum ESPRESSO input format:
```
&SYSTEM
  ibrav = 0, nat = 4, ntyp = 3
/
ATOMIC_SPECIES
Br 79.90 Br.upf
Tc 98.00 Tc.upf
Pt 195.08 Pt.upf
ATOMIC_POSITIONS crystal
Br 0.500 0.000 0.500
Tc 0.000 0.000 0.752
Tc 0.000 0.000 0.248
Pt 0.500 0.000 0.000
CELL_PARAMETERS angstrom
-0.146 -0.484 2.758
-2.232 -0.388 -1.611
2.549 -8.804 -1.411
```

DOS at the Fermi energy (states/eV per cell): 4.25
SG: Cmmm

Energy relative to the most stable one, in meV/atom: #w 0; #x 92

#w
DFT (SCAN) results for a crystal of TlPt2Br relaxed with PBEsol. Values from VASP.

The structure in Quantum ESPRESSO input format:
```
&SYSTEM
  ibrav = 0, nat = 4, ntyp = 3
/
ATOMIC_SPECIES
Tl 204.38 Tl.upf
Br 79.90 Br.upf
Pt 195.08 Pt.upf
ATOMIC_POSITIONS crystal
Tl 0.500 0.500 0.000
Br 0.250 0.750 0.500
Pt 0.000 0.000 0.000
Pt 0.750 0.250 0.500
CELL_PARAMETERS angstrom
-3.466 -0.781 1.707
-0.893 -2.467 -2.941
4.166 -1.953 3.014
```

DOS at the Fermi energy (states/eV per cell): 1.19
SG: I-4m2

#x
DFT (SCAN) results for a crystal of TlPt2Br relaxed with PBEsol. Values from VASP.

The structure in Quantum ESPRESSO input format:
```
&SYSTEM
  ibrav = 0, nat = 4, ntyp = 3
/
ATOMIC_SPECIES
Tl 204.38 Tl.upf
Br 79.90 Br.upf
Pt 195.08 Pt.upf
ATOMIC_POSITIONS crystal
Tl 0.000 0.000 0.475
Br 0.500 0.500 0.781
Pt 0.000 0.000 0.065
Pt 0.500 0.500 0.180
CELL_PARAMETERS angstrom
-2.713 0.937 -1.957
1.587 -1.279 -2.813
-3.028 -6.326 1.168
```

DOS at the Fermi energy (states/eV per cell): 1.88
SG: P4mm

Energy relative to the most stable one, in meV/atom: #w 351; #x 0

#w
DFT (SCAN) results for a crystal of Pt2WBr relaxed with PBEsol. Values from VASP.

The structure in Quantum ESPRESSO input format:
```
&SYSTEM
  ibrav = 0, nat = 4, ntyp = 3
/
ATOMIC_SPECIES
Br 79.90 Br.upf
W 183.84 W.upf
Pt 195.08 Pt.upf
ATOMIC_POSITIONS crystal
Br 0.000 0.000 0.000
W 0.500 0.500 0.500
Pt 0.250 0.250 0.250
Pt 0.750 0.750 0.750
CELL_PARAMETERS angstrom
-3.642 -0.563 2.654
-3.056 -3.211 -0.989
-0.348 -3.690 2.625
```

DOS at the Fermi energy (states/eV per cell): 2.59
SG: Fm-3m

#x
DFT (SCAN) results for a crystal of Pt2WBr relaxed with PBEsol. Values from VASP.

The structure in Quantum ESPRESSO input format:
```
&SYSTEM
  ibrav = 0, nat = 4, ntyp = 3
/
ATOMIC_SPECIES
Br 79.90 Br.upf
W 183.84 W.upf
Pt 195.08 Pt.upf
ATOMIC_POSITIONS crystal
Br 0.000 0.500 0.000
W 0.500 0.500 0.500
Pt 0.000 0.000 0.286
Pt 0.000 0.000 0.714
CELL_PARAMETERS angstrom
2.807 0.000 0.000
0.000 2.938 0.000
0.000 0.000 8.337
```

DOS at the Fermi energy (states/eV per cell): 2.09
SG: Pmmm

Energy relative to the most stable one, in meV/atom: #w 909; #x 0

#w
DFT (SCAN) results for a crystal of Pt2WBr relaxed with PBEsol. Values from VASP.

The structure in Quantum ESPRESSO input format:
```
&SYSTEM
  ibrav = 0, nat = 4, ntyp = 3
/
ATOMIC_SPECIES
Br 79.90 Br.upf
W 183.84 W.upf
Pt 195.08 Pt.upf
ATOMIC_POSITIONS crystal
Br 0.500 0.500 0.708
W 0.000 0.000 0.485
Pt 0.000 0.000 0.033
Pt 0.500 0.500 0.275
CELL_PARAMETERS angstrom
2.931 0.000 0.000
0.000 2.931 0.000
0.000 0.000 7.831
```

DOS at the Fermi energy (states/eV per cell): 1.60
SG: P4mm

#x
DFT (SCAN) results for a crystal of Pt2WBr relaxed with PBEsol. Values from VASP.

The structure in Quantum ESPRESSO input format:
```
&SYSTEM
  ibrav = 0, nat = 4, ntyp = 3
/
ATOMIC_SPECIES
Br 79.90 Br.upf
W 183.84 W.upf
Pt 195.08 Pt.upf
ATOMIC_POSITIONS crystal
Br 0.000 0.500 0.500
W 0.500 0.000 0.500
Pt 0.000 0.000 0.000
Pt 0.500 0.500 0.000
CELL_PARAMETERS angstrom
2.860 0.000 0.000
0.000 4.667 0.000
0.000 0.000 4.832
```

DOS at the Fermi energy (states/eV per cell): 4.68
SG: Pmmm

Energy relative to the most stable one, in meV/atom: #w 0; #x 504

#w
DFT (SCAN) results for a crystal of YPtBr2 relaxed with PBEsol. Values from VASP.

The structure in Quantum ESPRESSO input format:
```
&SYSTEM
  ibrav = 0, nat = 4, ntyp = 3
/
ATOMIC_SPECIES
Y 88.91 Y.upf
Br 79.90 Br.upf
Pt 195.08 Pt.upf
ATOMIC_POSITIONS crystal
Y 0.500 0.500 0.698
Br 0.000 0.000 0.942
Br 0.500 0.500 0.327
Pt 0.000 0.000 0.533
CELL_PARAMETERS angstrom
-2.606 0.709 -2.473
2.363 -0.732 -2.700
-2.034 -7.036 0.127
```

DOS at the Fermi energy (states/eV per cell): 2.53
SG: P4mm

#x
DFT (SCAN) results for a crystal of YPtBr2 relaxed with PBEsol. Values from VASP.

The structure in Quantum ESPRESSO input format:
```
&SYSTEM
  ibrav = 0, nat = 4, ntyp = 3
/
ATOMIC_SPECIES
Y 88.91 Y.upf
Br 79.90 Br.upf
Pt 195.08 Pt.upf
ATOMIC_POSITIONS crystal
Y 0.000 0.000 0.000
Br 0.259 0.259 0.224
Br 0.741 0.741 0.776
Pt 0.500 0.500 0.500
CELL_PARAMETERS angstrom
3.446 0.000 0.000
1.723 2.984 0.000
1.723 0.995 8.843
```

DOS at the Fermi energy (states/eV per cell): 2.87
SG: R-3m

Energy relative to the most stable one, in meV/atom: #w 0; #x 706

#w
DFT (SCAN) results for a crystal of Zn2PtBr relaxed with PBEsol. Values from VASP.

The structure in Quantum ESPRESSO input format:
```
&SYSTEM
  ibrav = 0, nat = 4, ntyp = 3
/
ATOMIC_SPECIES
Br 79.90 Br.upf
Pt 195.08 Pt.upf
Zn 65.41 Zn.upf
ATOMIC_POSITIONS crystal
Br 0.500 0.500 0.500
Pt 0.500 0.000 0.000
Zn 0.000 0.500 0.000
Zn 0.000 0.000 0.500
CELL_PARAMETERS angstrom
2.966 0.026 0.027
-0.042 4.699 0.004
-0.042 -0.238 4.693
```

DOS at the Fermi energy (states/eV per cell): 0.89
SG: Cmmm

#x
DFT (SCAN) results for a crystal of Zn2PtBr relaxed with PBEsol. Values from VASP.

The structure in Quantum ESPRESSO input format:
```
&SYSTEM
  ibrav = 0, nat = 4, ntyp = 3
/
ATOMIC_SPECIES
Br 79.90 Br.upf
Pt 195.08 Pt.upf
Zn 65.41 Zn.upf
ATOMIC_POSITIONS crystal
Br 0.000 0.000 0.000
Pt 0.500 0.500 0.500
Zn 0.250 0.250 0.250
Zn 0.750 0.750 0.750
CELL_PARAMETERS angstrom
-2.795 -0.514 3.570
-3.455 -2.972 -0.217
0.132 -3.836 2.467
```

DOS at the Fermi energy (states/eV per cell): 1.05
SG: Fm-3m

Energy relative to the most stable one, in meV/atom: #w 0; #x 268

#w
DFT (SCAN) results for a crystal of Zn2PtBr relaxed with PBEsol. Values from VASP.

The structure in Quantum ESPRESSO input format:
```
&SYSTEM
  ibrav = 0, nat = 4, ntyp = 3
/
ATOMIC_SPECIES
Br 79.90 Br.upf
Pt 195.08 Pt.upf
Zn 65.41 Zn.upf
ATOMIC_POSITIONS crystal
Br 0.500 0.000 0.500
Pt 0.500 0.500 0.000
Zn 0.000 0.000 0.807
Zn 0.000 0.000 0.193
CELL_PARAMETERS angstrom
3.037 0.000 0.000
0.000 3.332 0.048
0.000 -0.109 7.093
```

DOS at the Fermi energy (states/eV per cell): 0.84
SG: Pmmm

#x
DFT (SCAN) results for a crystal of Zn2PtBr relaxed with PBEsol. Values from VASP.

The structure in Quantum ESPRESSO input format:
```
&SYSTEM
  ibrav = 0, nat = 4, ntyp = 3
/
ATOMIC_SPECIES
Br 79.90 Br.upf
Pt 195.08 Pt.upf
Zn 65.41 Zn.upf
ATOMIC_POSITIONS crystal
Br 0.000 0.000 0.428
Pt 0.500 0.500 0.894
Zn 0.000 0.000 0.918
Zn 0.500 0.500 0.261
CELL_PARAMETERS angstrom
-0.389 0.263 3.467
1.293 -3.228 0.390
6.036 2.478 0.489
```

DOS at the Fermi energy (states/eV per cell): 0.93
SG: P4mm

Energy relative to the most stable one, in meV/atom: #w 0; #x 108

#w
DFT (SCAN) results for a crystal of ZnPtBr2 relaxed with PBEsol. Values from VASP.

The structure in Quantum ESPRESSO input format:
```
&SYSTEM
  ibrav = 0, nat = 4, ntyp = 3
/
ATOMIC_SPECIES
Br 79.90 Br.upf
Pt 195.08 Pt.upf
Zn 65.41 Zn.upf
ATOMIC_POSITIONS crystal
Br 0.000 0.989 0.924
Br 0.500 0.572 0.312
Pt 0.000 0.703 0.586
Zn 0.500 0.236 0.678
CELL_PARAMETERS angstrom
3.505 0.000 0.000
0.000 3.567 -0.162
0.000 -0.866 7.131
```

DOS at the Fermi energy (states/eV per cell): 1.37
SG: Pm

#x
DFT (SCAN) results for a crystal of ZnPtBr2 relaxed with PBEsol. Values from VASP.

The structure in Quantum ESPRESSO input format:
```
&SYSTEM
  ibrav = 0, nat = 4, ntyp = 3
/
ATOMIC_SPECIES
Br 79.90 Br.upf
Pt 195.08 Pt.upf
Zn 65.41 Zn.upf
ATOMIC_POSITIONS crystal
Br 0.500 0.500 0.000
Br 0.500 0.000 0.500
Pt 0.000 0.500 0.500
Zn 0.000 0.000 0.000
CELL_PARAMETERS angstrom
4.900 0.037 0.054
-2.214 4.372 -0.054
-2.214 -1.674 4.039
```

DOS at the Fermi energy (states/eV per cell): 0.90
SG: I4/mmm

Energy relative to the most stable one, in meV/atom: #w 0; #x 372

#w
DFT (SCAN) results for a crystal of ZrPt2Br relaxed with PBEsol. Values from VASP.

The structure in Quantum ESPRESSO input format:
```
&SYSTEM
  ibrav = 0, nat = 4, ntyp = 3
/
ATOMIC_SPECIES
Br 79.90 Br.upf
Zr 91.22 Zr.upf
Pt 195.08 Pt.upf
ATOMIC_POSITIONS crystal
Br 0.914 0.828 0.277
Zr 0.490 0.979 0.599
Pt 0.907 0.813 0.853
Pt 0.190 0.380 0.771
CELL_PARAMETERS angstrom
-0.372 -2.943 2.029
3.276 -0.558 -3.391
3.847 2.678 4.589
```

DOS at the Fermi energy (states/eV per cell): 1.82
SG: Cm

#x
DFT (SCAN) results for a crystal of ZrPt2Br relaxed with PBEsol. Values from VASP.

The structure in Quantum ESPRESSO input format:
```
&SYSTEM
  ibrav = 0, nat = 4, ntyp = 3
/
ATOMIC_SPECIES
Br 79.90 Br.upf
Zr 91.22 Zr.upf
Pt 195.08 Pt.upf
ATOMIC_POSITIONS crystal
Br 0.242 0.242 0.275
Zr 0.500 0.500 0.500
Pt 0.005 0.005 0.985
Pt 0.753 0.753 0.740
CELL_PARAMETERS angstrom
3.059 0.001 -0.001
1.531 2.649 -0.001
1.527 0.881 8.973
```

DOS at the Fermi energy (states/eV per cell): 2.85
SG: R3m

Energy relative to the most stable one, in meV/atom: #w 0; #x 550